CeCdIn2Ag2 | PBE | relaxed

Output
- Formation energy from the elements: 0.15 eV/atom
- Total magnetic moment: 1.405 μB/f.u.

abc: 5.0899 5.0899 6.2159
angles: 90.00 90.00 90.00
Last column: magnetic moment on the atom in μB.
Atoms (fractional coordinates):
In1 0.5000 0.5000 0.2665  0.00
Ce1 0.0000 0.0000 0.5000  1.16
In2 0.5000 0.5000 0.7335  0.00
Ag1 0.5000 0.0000 0.0000  0.00
Ag2 0.0000 0.5000 0.0000  0.00
Cd1 0.0000 0.0000 0.0000  0.02

---

Zn2IrOs | PBE | relaxed

Output
- Formation energy from the elements: 0.13 eV/atom
- E above lowest polymorph: 112.7 meV per atom
- Total magnetic moment: 0.001 μB/f.u.

abc: 2.7286 2.7286 8.7216
angles: 90.00 90.00 117.35
Atoms (fractional coordinates):
Os1 0.5000 0.5000 0.7500
Zn1 0.0000 0.0000 0.0022
Zn2 0.0000 0.0000 0.4978
Ir1 0.5000 0.5000 0.2500